(1)
This record from Alexandria describes crystalline Na3Mn2As6W at its relaxed geometry. The functional is PBE.

Lattice parameters (Å, degrees): 5.7236 5.7236 8.1364 96.72 96.72 117.72
Positions (direct):
Mn: 0.6686 0.3314 0.0000
Mn: 0.3314 0.6686 0.0000
As: 0.4166 0.0665 0.2033
As: 0.9335 0.5834 0.7967
As: 0.2817 0.2817 0.7972
As: 0.7183 0.7183 0.2028
As: 0.5834 0.9335 0.7967
As: 0.0665 0.4166 0.2033
W: 0.0000 0.0000 0.0000
Na: 0.1641 0.8359 0.5000
Na: 0.8359 0.1641 0.5000
Na: 0.5000 0.5000 0.5000

Results
V	230	Å³/f.u.
DFT formation energy	-190	meV per atom
uncorrected energy	-65.43	eV per cell

=====

(2)
This record from Alexandria describes crystalline Ce2PmInN at its relaxed geometry. The functional is PBE.

Lattice parameters (Å, degrees): 5.0687 4.8886 4.8886 90.00 90.00 90.00
Positions (direct):
In: 0.5000 0.5000 0.5000
N: 0.0000 0.0000 0.0000
Ce: 0.0000 0.0000 0.5000
Ce: 0.0000 0.5000 0.0000
Pm: 0.5000 0.0000 0.0000

Results
V	121	Å³/f.u.
uncorrected energy	-31.83	eV per cell
E_form (uncorrected)	-829	meV per atom

=====

(3)
This record from Alexandria describes crystalline NaGdI2 at its relaxed geometry. The functional is PBE.

Lattice parameters (Å, degrees): 4.0292 4.0292 9.3415 77.55 77.55 60.00
Positions (direct):
Gd: 0.0000 0.0000 0.0000
I: 0.7502 0.7502 0.7494
I: 0.2498 0.2498 0.2506
Na: 0.5000 0.5000 0.5000

Results
V	127	Å³/f.u.
uncorrected energy	-22.18	eV per cell
E_form (uncorrected)	-921	meV per atom

=====

(4)
This record from Alexandria describes crystalline Ba2AlCu at its relaxed geometry. The functional is PBE.

Lattice parameters (Å, degrees): 9.1598 5.8392 3.9771 89.98 64.29 129.54
Positions (direct):
Al: 0.5000 0.5000 0.0000
Cu: 0.0000 0.5000 0.5000
Ba: 0.0000 0.0000 0.0000
Ba: 0.5000 0.0000 0.5000

Results
V	136	Å³/f.u.
DFT formation energy	38	meV per atom
uncorrected energy	-11.53	eV per cell

=====

(5)
This record from Alexandria describes crystalline RbLa2Co at its relaxed geometry. The functional is PBE.

Lattice parameters (Å, degrees): 5.4704 5.4704 5.4704 60.00 60.00 60.00
Positions (direct):
La: 0.2500 0.2500 0.2500
La: 0.7500 0.7500 0.7500
Co: 0.0000 0.0000 0.0000
Rb: 0.5000 0.5000 0.5000

Results
V	116	Å³/f.u.
DFT formation energy	724	meV per atom
uncorrected energy	-15.03	eV per cell

=====

(6)
This record from Alexandria describes crystalline Pr2Nd6Er3Tl at its relaxed geometry. The functional is PBE.

Lattice parameters (Å, degrees): 6.2319 6.2319 11.9474 94.99 94.99 120.09
Positions (direct):
Nd: 0.0843 0.4105 0.2532
Nd: 0.2417 0.2417 0.7461
Nd: 0.7583 0.7583 0.2539
Nd: 0.9157 0.5895 0.7468
Nd: 0.5895 0.9157 0.7468
Nd: 0.4105 0.0843 0.2532
Er: 0.1671 0.8329 0.5000
Er: 0.8329 0.1671 0.5000
Er: 0.5000 0.5000 0.5000
Pr: 0.3336 0.6664 0.0000
Pr: 0.6664 0.3336 0.0000
Tl: 0.0000 0.0000 0.0000

Results
V	395	Å³/f.u.
DFT formation energy	-28	meV per atom
uncorrected energy	-54.56	eV per cell

=====

Density readings, ordered: 5.87, 7.60, 5.67, 4.47, 6.06, 7.79 g cm⁻³